CaV2P2H8O14 | GGA+U | optimized geometry

Calculated values
- DFT total energy: -6.356 eV/atom
- Symmetry: No. 1

Unit cell a=6.4312 b=6.4290 c=6.6550 alpha=107.27 beta=93.92 gamma=89.47
Last column: magnetic moment on the atom in μB.
Fractional coordinates of all 27 atoms:
O  0.2967  0.2353  0.4731  0.00
O  0.1423  0.5461  0.7615  0.00
O  0.0041  0.8917  0.4516  0.00
O  0.6245  0.9342  0.4580  0.00
O  0.8741  0.5795  0.0804  0.00
O  0.5248  0.4908  0.7824  0.00
O  0.8174  0.8361  0.7673  0.00
O  0.7845  0.4430  0.4475  -0.12
O  0.3288  0.8057  0.1458  0.00
O  0.8586  0.2081  0.7411  0.00
O  0.1827  0.3118  0.1044  0.00
O  0.6242  0.0846  0.1055  0.00
O  0.3555  0.6121  0.4750  0.00
O  0.3170  0.0146  0.7766  -0.12
H  0.4226  0.9080  0.1046  0.00
H  0.6853  0.0628  0.2376  0.00
H  0.9195  0.7090  0.2015  0.00
H  0.1896  0.2576  0.2301  0.00
H  0.7046  0.9969  0.9856  0.00
H  0.2315  0.7413  0.0205  0.00
H  0.9829  0.4662  0.0893  0.00
H  0.1910  0.1849  0.9758  0.00
Ca  0.5380  0.4693  0.1591  0.00
P  0.3293  0.4703  0.6249  0.00
P  0.8277  0.9692  0.6065  0.00
V  0.8304  0.5053  0.7057  1.07
V  0.3169  0.9373  0.5188  1.08